1.
This record from OQMD via LeMat-Bulk describes a relaxed structure of ErTaNO. The functional is PBE.

a = 6.4455 Å, b = 7.6117 Å, c = 4.5127 Å
α = 90.00°, β = 90.00°, γ = 90.00°
Space group Pca2_1 (No. 29)
Symmetry-distinct sites (fractional):
Er: 0.0474 0.1286 0.0000 [4 per cell]
Ta: 0.1089 0.6339 0.0016 [4 per cell]
N: 0.0745 0.5902 0.5016 [4 per cell]
O: 0.0996 0.1510 0.4997 [4 per cell]

=====

2.
This record from OQMD via LeMat-Bulk describes a relaxed structure of ErTlNO. The functional is PBE.

a = 3.5503 Å, b = 3.5503 Å, c = 4.7563 Å
α = 90.00°, β = 90.00°, γ = 90.00°
Space group P4/mmm (No. 123)
Symmetry-distinct sites (fractional):
Er: 0.0000 0.0000 0.0000 [1 per cell]
Tl: 0.5000 0.5000 0.5000 [1 per cell]
N: 0.5000 0.5000 0.0000 [1 per cell]
O: 0.0000 0.0000 0.5000 [1 per cell]

=====

3.
This record from OQMD via LeMat-Bulk describes a relaxed structure of ErTlNO. The functional is PBE.

a = 5.0368 Å, b = 5.0368 Å, c = 4.7378 Å
α = 90.00°, β = 90.00°, γ = 90.00°
Space group P4/nmm (No. 129, origin choice 2)
Symmetry-distinct sites (fractional):
Er: 0.2500 0.7500 0.0000 [2 per cell]
Tl: 0.2500 0.2500 0.4982 [2 per cell]
N: 0.2500 0.2500 0.9980 [2 per cell]
O: 0.2500 0.7500 0.5000 [2 per cell]

=====

4.
This record from OQMD via LeMat-Bulk describes a relaxed structure of ErTlNO. The functional is PBE.

a = 4.1242 Å, b = 4.1242 Å, c = 7.6592 Å
α = 90.00°, β = 90.00°, γ = 90.00°
Space group P4/nmm (No. 129, origin choice 2)
Symmetry-distinct sites (fractional):
Er: 0.2500 0.2500 0.1146 [2 per cell]
Tl: 0.2500 0.7500 0.5000 [2 per cell]
N: 0.2500 0.2500 0.6830 [2 per cell]
O: 0.2500 0.7500 0.0000 [2 per cell]

=====

5.
This record from OQMD via LeMat-Bulk describes a relaxed structure of ErTlNO. The functional is PBE.

a = 6.6717 Å, b = 7.5781 Å, c = 5.8545 Å
α = 90.00°, β = 90.00°, γ = 90.00°
Space group Pca2_1 (No. 29)
Symmetry-distinct sites (fractional):
Er: 0.0857 0.1227 0.0000 [4 per cell]
Tl: 0.0843 0.6415 0.0044 [4 per cell]
N: 0.0989 0.1044 0.6210 [4 per cell]
O: 0.0561 0.6301 0.5887 [4 per cell]

=====

6.
This record from OQMD via LeMat-Bulk describes a relaxed structure of ErTlNO. The functional is PBE.

a = 3.8002 Å, b = 6.6450 Å, c = 6.0135 Å
α = 90.00°, β = 90.00°, γ = 90.00°
Space group Pmc2_1 (No. 26)
Symmetry-distinct sites (fractional):
Er: 0.0000 0.1683 0.0000 [2 per cell]
Tl: 0.5000 0.3394 0.5057 [2 per cell]
N: 0.5000 0.3235 0.8988 [2 per cell]
O: 0.0000 0.1224 0.3514 [2 per cell]

=====

7.
This record from OQMD via LeMat-Bulk describes a relaxed structure of ErTlNO. The functional is PBE.

a = 5.5809 Å, b = 8.6842 Å, c = 5.5763 Å
α = 90.00°, β = 90.00°, γ = 90.00°
Space group Pca2_1 (No. 29)
Symmetry-distinct sites (fractional):
Er: 0.9996 0.1164 0.0000 [4 per cell]
Tl: 0.0196 0.3750 0.5162 [4 per cell]
N: 0.0187 0.3648 0.0723 [4 per cell]
O: 0.2503 0.9993 0.2472 [4 per cell]

=====

8.
This record from OQMD via LeMat-Bulk describes a relaxed structure of ErTlNO. The functional is PBE.

a = 3.8197 Å, b = 6.5543 Å, c = 5.9982 Å
α = 90.00°, β = 90.00°, γ = 90.00°
Space group Pmc2_1 (No. 26)
Symmetry-distinct sites (fractional):
Er: 0.0000 0.1707 0.0000 [2 per cell]
Tl: 0.5000 0.3201 0.4876 [2 per cell]
N: 0.0000 0.1435 0.3690 [2 per cell]
O: 0.5000 0.3009 0.9102 [2 per cell]

=====

9.
This record from OQMD via LeMat-Bulk describes a relaxed structure of ErTmNO. The functional is PBE.

a = 4.3405 Å, b = 4.3405 Å, c = 7.6900 Å
α = 90.00°, β = 90.00°, γ = 90.00°
Space group P4/nmm (No. 129, origin choice 2)
Symmetry-distinct sites (fractional):
Er: 0.2500 0.2500 0.0903 [2 per cell]
Tm: 0.2500 0.7500 0.5000 [2 per cell]
N: 0.2500 0.2500 0.5792 [2 per cell]
O: 0.2500 0.7500 0.0000 [2 per cell]

=====

10.
This record from OQMD via LeMat-Bulk describes a relaxed structure of ErTmNO. The functional is PBE.

a = 4.7789 Å, b = 3.9047 Å, c = 6.8120 Å
α = 90.00°, β = 90.00°, γ = 90.00°
Space group Pmma (No. 51)
Symmetry-distinct sites (fractional):
Er: 0.2500 0.0000 0.1660 [2 per cell]
Tm: 0.2500 0.5000 0.6659 [2 per cell]
N: 0.2500 0.0000 0.8343 [2 per cell]
O: 0.2500 0.5000 0.3301 [2 per cell]

=====

11.
This record from OQMD via LeMat-Bulk describes a relaxed structure of ErTmNO. The functional is PBE.

a = 4.7780 Å, b = 3.8977 Å, c = 6.7844 Å
α = 90.00°, β = 90.00°, γ = 90.00°
Space group Pmma (No. 51)
Symmetry-distinct sites (fractional):
Er: 0.2500 0.0000 0.1643 [2 per cell]
Tm: 0.2500 0.5000 0.6672 [2 per cell]
N: 0.2500 0.5000 0.3372 [2 per cell]
O: 0.2500 0.0000 0.8225 [2 per cell]

=====

12.
This record from OQMD via LeMat-Bulk describes a relaxed structure of ErTmNO. The functional is PBE.

a = 6.5045 Å, b = 7.9511 Å, c = 4.8375 Å
α = 90.00°, β = 90.00°, γ = 90.00°
Space group Pca2_1 (No. 29)
Symmetry-distinct sites (fractional):
Er: 0.0831 0.1277 0.0000 [4 per cell]
Tm: 0.0689 0.6214 0.0012 [4 per cell]
N: 0.0679 0.1260 0.5006 [4 per cell]
O: 0.0948 0.6306 0.5009 [4 per cell]

=====

| no. | raw total energy (Ha/atom) |
| --- | --- |
| 1 | -0.33714 |
| 2 | -0.22675 |
| 3 | -0.22681 |
| 4 | -0.21799 |
| 5 | -0.22589 |
| 6 | -0.22744 |
| 7 | -0.23317 |
| 8 | -0.22718 |
| 9 | -0.27350 |
| 10 | -0.28842 |
| 11 | -0.28869 |
| 12 | -0.28767 |